[1]
Compound: Sc6ZnNi2
Source: Alexandria
Functional: PBE-GGA
Structure: relaxed

Cell lengths 7.733, 7.733, 7.733 Å; angles 106.72, 110.64, 111.09 degrees
Element x y z (fractional)
Sc  0.538  0.720  0.817
Sc  0.462  0.280  0.183
Sc  0.097  0.280  0.817
Sc  0.903  0.720  0.183
Sc  0.801  0.760  0.562
Sc  0.199  0.240  0.438
Sc  0.199  0.760  0.959
Sc  0.801  0.240  0.041
Sc  0.703  0.378  0.675
Sc  0.297  0.622  0.325
Sc  0.297  0.971  0.675
Sc  0.703  0.029  0.325
Zn  0.000  0.500  0.500
Zn  0.000  0.000  0.000
Ni  0.500  0.373  0.873
Ni  0.500  0.627  0.127
Ni  0.650  0.000  0.650
Ni  0.350  0.000  0.350

Summary:
Formation enthalpy at 0 K = -32 kJ per mole of atoms
Mass density = 4.2 g/cm³
Crystal system = orthorhombic
Total magnetic moment = 0.000 μB per atom



[2]
Compound: SmHoMn4
Source: Alexandria
Functional: PBE-GGA
Structure: relaxed

Cell lengths 5.165, 5.165, 5.165 Å; angles 60.00, 60.00, 60.00 degrees
Last column: magnetic moment on the atom in μB.
Element x y z (fractional)
Mn  0.625  0.625  0.124  1.51
Mn  0.625  0.124  0.625  1.51
Mn  0.625  0.625  0.625  1.51
Mn  0.124  0.625  0.625  1.51
Ho  0.000  0.000  0.000  -0.29
Sm  0.250  0.250  0.250  -0.21

Summary:
Formation enthalpy at 0 K = 19 kJ per mole of atoms
Mass density = 9.1 g/cm³
Crystal system = cubic
Total magnetic moment = 0.945 μB per atom



[3]
Compound: Pr2ErSi3Rh4
Source: Alexandria
Functional: PBE-GGA
Structure: relaxed

Cell lengths 4.172, 4.172, 10.843 Å; angles 90.00, 90.00, 90.00 degrees
Element x y z (fractional)
Pr  0.500  0.000  0.233
Pr  0.000  0.500  0.767
Er  0.500  0.500  0.500
Si  0.000  0.000  0.500
Si  0.500  0.000  0.883
Si  0.000  0.500  0.117
Rh  0.500  0.500  0.000
Rh  0.000  0.000  0.000
Rh  0.500  0.000  0.658
Rh  0.000  0.500  0.342

Summary:
Mass density = 8.3 g/cm³
Uncorrected formation energy = -9.7 eV per formula unit
Crystal system = tetragonal
Total magnetic moment = 0.000 μB per atom



[4]
Compound: La3Dy4Y5
Source: Alexandria
Functional: PBE-GGA
Structure: relaxed

Cell lengths 7.205, 11.396, 13.000 Å; angles 151.29, 56.55, 129.08 degrees
Element x y z (fractional)
La  0.587  0.169  0.336
La  0.000  0.000  0.500
La  0.413  0.831  0.664
Dy  0.919  0.837  0.670
Dy  0.834  0.668  0.834
Dy  0.166  0.332  0.166
Dy  0.081  0.163  0.330
Y  0.333  0.668  0.835
Y  0.500  0.000  0.500
Y  0.748  0.502  0.002
Y  0.252  0.498  0.998
Y  0.667  0.332  0.165

Summary:
E above lowest polymorph = 0.000 eV/atom
Formation enthalpy at 0 K = 2 kJ per mole of atoms
Mass density = 6.3 g/cm³
Crystal system = triclinic
Total magnetic moment = 0.000 μB per atom



[5]
Compound: LaErZr
Source: Alexandria
Functional: PBE-GGA
Structure: relaxed

Cell lengths 5.429, 5.429, 6.769 Å; angles 90.00, 90.00, 60.00 degrees
Element x y z (fractional)
La  0.629  0.979  0.291
La  0.962  0.312  0.291
Er  0.295  0.645  0.558
Er  0.295  0.645  0.023
Zr  0.629  0.979  0.791
Zr  0.962  0.312  0.791

Summary:
E above lowest polymorph = 0.027 eV/atom
Formation enthalpy at 0 K = 13 kJ per mole of atoms
Mass density = 7.6 g/cm³
Crystal system = hexagonal
Total magnetic moment = 0.001 μB per atom



[6]
Compound: Tb2TmCo
Source: Alexandria
Functional: PBE-GGA
Structure: relaxed

Cell lengths 3.428, 3.428, 8.664 Å; angles 90.00, 90.00, 90.00 degrees
Last column: magnetic moment on the atom in μB.
Element x y z (fractional)
Co  0.500  0.500  0.000  1.00
Tm  0.500  0.500  0.500  0.32
Tb  0.000  0.000  0.812  -0.04
Tb  0.000  0.000  0.188  -0.04

Summary:
E above lowest polymorph = 0.142 eV/atom
Formation enthalpy at 0 K = -2 kJ per mole of atoms
Mass density = 8.9 g/cm³
Crystal system = tetragonal
Total magnetic moment = 0.336 μB per atom



Number 1: calculated volume 19.744 A^3/atom. Number 2: calculated volume 16.241 A^3/atom. Number 3: calculated volume 18.873 A^3/atom. Number 4: calculated volume 33.173 A^3/atom. Number 5: calculated volume 28.796 A^3/atom. Number 6: calculated volume 25.451 A^3/atom.